(1)
Compound: LiTa2Ru
Source: the Alexandria database
Functional: PBEsol
Structure: optimized geometry

abc: 3.133 4.561 9.273
angles: 90.00 90.00 90.00
Space group Cmmm (No. 65)
Asymmetric unit:
Li 0.000 0.000 0.000 (multiplicity 2)
Ta 0.000 0.500 0.272 (multiplicity 4)
Ru 0.000 0.000 0.500 (multiplicity 2)

Properties
Final energy = -0.6684 Ry per atom
Crystal system = orthorhombic
Fermi-level density of states = 6.71 states/eV per cell

(2)
Compound: MgCu2Si
Source: the Alexandria database
Functional: PBEsol
Structure: optimized geometry

abc: 3.130 3.130 5.537
angles: 90.00 90.00 90.00
Space group P4/mmm (No. 123)
Asymmetric unit:
Mg 0.000 0.000 0.000 (multiplicity 1)
Cu 0.500 0.500 0.274 (multiplicity 2)
Si 0.000 0.000 0.500 (multiplicity 1)

Properties
Final energy = -0.2977 Ry per atom
Formation energy without anion corrections = -0.017 eV/atom
Crystal system = tetragonal
Fermi-level density of states = 0.90 states/eV per cell

(3)
Compound: Ba4SbBr
Source: the Alexandria database
Functional: PBEsol
Structure: optimized geometry

abc: 9.869 9.869 9.869
angles: 90.00 90.00 90.00
Space group F-43m (No. 216)
Asymmetric unit:
Ba 0.124 0.124 0.124 (multiplicity 16)
Sb 0.250 0.250 0.750 (multiplicity 4)
Br 0.000 0.000 0.500 (multiplicity 4)

Properties
Final energy = -0.2003 Ry per atom
Formation energy without anion corrections = -0.221 eV/atom
Crystal system = cubic
Fermi-level density of states = 28.10 states/eV per cell

(4)
Compound: Be3HAu
Source: the Alexandria database
Functional: PBEsol
Structure: optimized geometry

abc: 3.516 3.516 3.516
angles: 90.00 90.00 90.00
Space group Pm-3m (No. 221)
Asymmetric unit:
Be 0.000 0.000 0.500 (multiplicity 3)
H 0.000 0.000 0.000 (multiplicity 1)
Au 0.500 0.500 0.500 (multiplicity 1)

Properties
Final energy = -0.2795 Ry per atom
Crystal system = cubic
Fermi-level density of states = 0.83 states/eV per cell

(5)
Compound: AlHg2P
Source: the Alexandria database
Functional: PBEsol
Structure: optimized geometry

abc: 13.502 3.451 3.518
angles: 90.00 94.40 90.00
Space group C2/m (No. 12)
Asymmetric unit:
Al 0.000 0.000 0.000 (multiplicity 2)
Hg 0.186 0.500 0.220 (multiplicity 4)
P 0.000 0.500 0.500 (multiplicity 2)

Properties
Final energy = -0.2012 Ry per atom
Crystal system = monoclinic
Fermi-level density of states = 2.03 states/eV per cell

(6)
Compound: Li3V4FeO12
Source: the Alexandria database
Functional: PBEsol
Structure: optimized geometry

abc: 4.922 5.281 7.213
angles: 95.36 90.01 90.03
Space group P1 (No. 1)
Asymmetric unit:
Li 0.000 0.000 0.000 (multiplicity 1)
Li 0.001 0.999 0.498 (multiplicity 1)
Li 0.503 0.496 0.002 (multiplicity 1)
V 0.008 0.560 0.213 (multiplicity 1)
V 0.494 0.064 0.722 (multiplicity 1)
V 0.505 0.054 0.212 (multiplicity 1)
V 0.999 0.571 0.723 (multiplicity 1)
Fe 0.502 0.483 0.507 (multiplicity 1)
O 0.141 0.613 0.443 (multiplicity 1)
O 0.186 0.914 0.753 (multiplicity 1)
O 0.192 0.297 0.133 (multiplicity 1)
O 0.308 0.797 0.135 (multiplicity 1)
O 0.317 0.416 0.752 (multiplicity 1)
O 0.379 0.116 0.443 (multiplicity 1)
O 0.618 0.106 0.948 (multiplicity 1)
O 0.685 0.793 0.627 (multiplicity 1)
O 0.687 0.428 0.263 (multiplicity 1)
O 0.809 0.300 0.631 (multiplicity 1)
O 0.812 0.919 0.254 (multiplicity 1)
O 0.882 0.609 0.949 (multiplicity 1)

Properties
Final energy = -0.5895 Ry per atom
Formation energy without anion corrections = -2.200 eV/atom
Crystal system = triclinic
Fermi-level density of states = 6.48 states/eV per cell

Q: Look up the Fermi-level density of states of the first one.
A: 6.71 states/eV per cell